The following is a DFT calculation (GGA-PBE) of a relaxed structure of NaVTeN2.

abc: 4.200 4.200 5.606
angles: 90.00 90.00 90.00
Element x y z (fractional)
1 Na 0.000 0.000 0.000
2 V 0.500 0.500 0.500
3 Te 0.000 0.000 0.500
4 N 0.000 0.500 0.000
5 N 0.500 0.000 0.000

Calculated total energy   -3.85 eV/atom
Polymorph energy (0 for the lowest one)   9.74 eV/f.u.
Formation energy from raw total energies   2196 meV/atom
Space-group type   P4/mmm

=====

The following is a DFT calculation (GGA-PBE) of a relaxed structure of NaVTe2N.

abc: 5.627 5.627 3.612
angles: 90.00 90.00 90.00
Element x y z (fractional)
1 Na 0.000 0.000 0.000
2 V 0.500 0.500 0.500
3 Te 0.000 0.500 0.500
4 Te 0.500 0.000 0.500
5 N 0.500 0.500 0.000

Calculated total energy   -5.20 eV/atom
Polymorph energy (0 for the lowest one)   0.00 eV/f.u.
Formation energy from raw total energies   -195 meV/atom
Space-group type   P4/mmm

=====

The following is a DFT calculation (GGA-PBE) of a relaxed structure of NaVTe2N.

abc: 5.550 5.550 4.185
angles: 90.00 90.00 90.00
Element x y z (fractional)
1 Na 0.000 0.000 0.000
2 V 0.500 0.500 0.500
3 Te 0.000 0.500 0.000
4 Te 0.500 0.000 0.000
5 N 0.000 0.000 0.500

Calculated total energy   -3.64 eV/atom
Polymorph energy (0 for the lowest one)   7.81 eV/f.u.
Formation energy from raw total energies   1367 meV/atom
Space-group type   P4/mmm

=====

The following is a DFT calculation (GGA-PBE) of a relaxed structure of NaTe2WN.

abc: 5.475 5.475 4.064
angles: 90.00 90.00 90.00
Element x y z (fractional)
1 Na 0.000 0.000 0.000
2 Te 0.000 0.500 0.000
3 Te 0.500 0.000 0.000
4 W 0.500 0.500 0.500
5 N 0.000 0.000 0.500

Calculated total energy   -3.83 eV/atom
Polymorph energy (0 for the lowest one)   9.73 eV/f.u.
Formation energy from raw total energies   1943 meV/atom
Space-group type   P4/mmm

=====

The following is a DFT calculation (GGA-PBE) of a relaxed structure of NaTe2WN.

abc: 5.552 5.552 3.848
angles: 90.00 90.00 90.00
Element x y z (fractional)
1 Na 0.000 0.000 0.000
2 Te 0.000 0.500 0.500
3 Te 0.500 0.000 0.500
4 W 0.500 0.500 0.500
5 N 0.500 0.500 0.000

Calculated total energy   -5.78 eV/atom
Polymorph energy (0 for the lowest one)   0.00 eV/f.u.
Formation energy from raw total energies   -3 meV/atom
Space-group type   P4/mmm

=====

The following is a DFT calculation (GGA-PBE) of a relaxed structure of NaYTeN2.

abc: 4.441 4.441 5.383
angles: 90.00 90.00 90.00
Element x y z (fractional)
1 Na 0.000 0.000 0.000
2 Y 0.500 0.500 0.500
3 Te 0.000 0.000 0.500
4 N 0.000 0.500 0.000
5 N 0.500 0.000 0.000

Calculated total energy   -4.41 eV/atom
Polymorph energy (0 for the lowest one)   3.64 eV/f.u.
Formation energy from raw total energies   1103 meV/atom
Space-group type   P4/mmm

=====

The following is a DFT calculation (GGA-PBE) of a relaxed structure of NaYTeN2.

abc: 4.319 4.319 5.112
angles: 90.00 90.00 90.00
Element x y z (fractional)
1 Na 0.000 0.000 0.000
2 Y 0.000 0.000 0.500
3 Te 0.500 0.500 0.500
4 N 0.000 0.500 0.000
5 N 0.500 0.000 0.000

Calculated total energy   -4.09 eV/atom
Polymorph energy (0 for the lowest one)   5.23 eV/f.u.
Formation energy from raw total energies   1420 meV/atom
Space-group type   P4/mmm

=====

The following is a DFT calculation (GGA-PBE) of a relaxed structure of NaYTeN2.

abc: 4.661 4.661 6.101
angles: 90.00 90.00 90.00
Element x y z (fractional)
1 Na 0.000 0.000 0.000
2 Y 0.500 0.500 0.500
3 Te 0.500 0.500 0.000
4 N 0.000 0.500 0.500
5 N 0.500 0.000 0.500

Calculated total energy   -5.14 eV/atom
Polymorph energy (0 for the lowest one)   0.00 eV/f.u.
Formation energy from raw total energies   375 meV/atom
Space-group type   P4/mmm

=====

The following is a DFT calculation (GGA-PBE) of a relaxed structure of NaZnTe2N.

abc: 6.029 6.029 3.548
angles: 90.00 90.00 90.00
Element x y z (fractional)
1 Na 0.000 0.000 0.000
2 Zn 0.500 0.500 0.500
3 Te 0.000 0.500 0.500
4 Te 0.500 0.000 0.500
5 N 0.500 0.500 0.000

Calculated total energy   -3.04 eV/atom
Polymorph energy (0 for the lowest one)   0.00 eV/f.u.
Formation energy from raw total energies   399 meV/atom
Space-group type   P4/mmm

=====

The following is a DFT calculation (GGA-PBE) of a relaxed structure of NaZnTe2N.

abc: 5.615 5.615 4.374
angles: 90.00 90.00 90.00
Element x y z (fractional)
1 Na 0.000 0.000 0.000
2 Zn 0.500 0.500 0.500
3 Te 0.000 0.500 0.000
4 Te 0.500 0.000 0.000
5 N 0.000 0.000 0.500

Calculated total energy   -2.23 eV/atom
Polymorph energy (0 for the lowest one)   4.06 eV/f.u.
Formation energy from raw total energies   1211 meV/atom
Space-group type   P4/mmm

=====

The following is a DFT calculation (GGA-PBE) of a relaxed structure of NaZnTeN2.

abc: 4.222 4.222 5.685
angles: 90.00 90.00 90.00
Element x y z (fractional)
1 Na 0.000 0.000 0.000
2 Zn 0.500 0.500 0.500
3 Te 0.500 0.500 0.000
4 N 0.000 0.500 0.500
5 N 0.500 0.000 0.500

Calculated total energy   -3.26 eV/atom
Polymorph energy (0 for the lowest one)   0.00 eV/f.u.
Formation energy from raw total energies   1214 meV/atom
Space-group type   P4/mmm

=====

The following is a DFT calculation (GGA-PBE) of a relaxed structure of NaZnTeN2.

abc: 4.400 4.400 6.312
angles: 90.00 90.00 90.00
Element x y z (fractional)
1 Na 0.000 0.000 0.000
2 Zn 0.500 0.500 0.500
3 Te 0.000 0.000 0.500
4 N 0.000 0.500 0.000
5 N 0.500 0.000 0.000

Calculated total energy   -2.69 eV/atom
Polymorph energy (0 for the lowest one)   2.85 eV/f.u.
Formation energy from raw total energies   1784 meV/atom
Space-group type   P4/mmm

=====

The following is a DFT calculation (GGA-PBE) of a relaxed structure of NaZrTeN2.

abc: 4.273 4.273 5.261
angles: 90.00 90.00 90.00
Element x y z (fractional)
1 Na 0.000 0.000 0.000
2 Zr 0.500 0.500 0.500
3 Te 0.000 0.000 0.500
4 N 0.000 0.500 0.000
5 N 0.500 0.000 0.000

Calculated total energy   -4.38 eV/atom
Polymorph energy (0 for the lowest one)   7.16 eV/f.u.
Formation energy from raw total energies   1554 meV/atom
Space-group type   P4/mmm

=====

The following is a DFT calculation (GGA-PBE) of a relaxed structure of NaZrTe2N.

abc: 5.979 5.979 3.975
angles: 90.00 90.00 90.00
Element x y z (fractional)
1 Na 0.000 0.000 0.000
2 Zr 0.500 0.500 0.500
3 Te 0.000 0.500 0.500
4 Te 0.500 0.000 0.500
5 N 0.500 0.500 0.000

Calculated total energy   -5.21 eV/atom
Polymorph energy (0 for the lowest one)   0.00 eV/f.u.
Formation energy from raw total energies   -314 meV/atom
Space-group type   P4/mmm

=====

The following is a DFT calculation (GGA-PBE) of a relaxed structure of NaZrTe2N.

abc: 5.470 5.470 4.098
angles: 90.00 90.00 90.00
Element x y z (fractional)
1 Na 0.000 0.000 0.000
2 Zr 0.500 0.500 0.500
3 Te 0.000 0.500 0.000
4 Te 0.500 0.000 0.000
5 N 0.000 0.000 0.500

Calculated total energy   -3.95 eV/atom
Polymorph energy (0 for the lowest one)   6.27 eV/f.u.
Formation energy from raw total energies   941 meV/atom
Space-group type   P4/mmm

=====

The following is a DFT calculation (GGA-PBE) of a relaxed structure of NaZrTeN2.

abc: 4.362 4.362 5.420
angles: 90.00 90.00 90.00
Element x y z (fractional)
1 Na 0.000 0.000 0.000
2 Zr 0.500 0.500 0.000
3 Te 0.500 0.500 0.500
4 N 0.000 0.500 0.500
5 N 0.500 0.000 0.500

Calculated total energy   -4.31 eV/atom
Polymorph energy (0 for the lowest one)   7.50 eV/f.u.
Formation energy from raw total energies   1623 meV/atom
Space-group type   P4/mmm

=====

The following is a DFT calculation (GGA-PBE) of a relaxed structure of NaZrTeN2.

abc: 4.353 4.353 5.826
angles: 90.00 90.00 90.00
Element x y z (fractional)
1 Na 0.000 0.000 0.000
2 Zr 0.500 0.500 0.500
3 Te 0.500 0.500 0.000
4 N 0.000 0.500 0.500
5 N 0.500 0.000 0.500

Calculated total energy   -5.81 eV/atom
Polymorph energy (0 for the lowest one)   0.00 eV/f.u.
Formation energy from raw total energies   122 meV/atom
Space-group type   P4/mmm

=====

The following is a DFT calculation (GGA-PBE) of a relaxed structure of NaTh2N.

abc: 3.537 3.537 30.834
angles: 90.00 90.00 120.00
Element x y z (fractional)
1 Na 0.000 0.000 0.000
2 Na 0.333 0.667 0.667
3 Na 0.667 0.333 0.333
4 Th 0.000 0.000 0.119
5 Th 0.000 0.000 0.881
6 Th 0.333 0.667 0.547
7 Th 0.333 0.667 0.786
8 Th 0.667 0.333 0.214
9 Th 0.667 0.333 0.453
10 N 0.000 0.000 0.500
11 N 0.333 0.667 0.167
12 N 0.667 0.333 0.833

Calculated total energy   -6.56 eV/atom
Formation energy from raw total energies   -441 meV/atom
Space-group type   R-3m

=====

The following is a DFT calculation (GGA-PBE) of a relaxed structure of Na2ThUN4.

abc: 6.058 3.615 6.234
angles: 90.00 110.15 90.00
Element x y z (fractional)
1 Na 0.000 0.000 0.000
2 Na 0.000 0.500 0.500
3 Th 0.500 0.000 0.500
4 U 0.500 0.500 0.000
5 N 0.315 0.000 0.790
6 N 0.319 0.500 0.238
7 N 0.681 0.500 0.762
8 N 0.685 0.000 0.210

Calculated total energy   -7.90 eV/atom
Formation energy from raw total energies   -1072 meV/atom
Space-group type   P2/m

=====

The following is a DFT calculation (GGA-PBE) of a relaxed structure of Na3TiN.

abc: 4.826 4.826 4.826
angles: 90.00 90.00 90.00
Element x y z (fractional)
1 Na 0.000 0.000 0.500
2 Na 0.000 0.500 0.000
3 Na 0.500 0.000 0.000
4 Ti 0.500 0.500 0.500
5 N 0.000 0.000 0.000

Calculated total energy   -3.09 eV/atom
Polymorph energy (0 for the lowest one)   0.00 eV/f.u.
Formation energy from raw total energies   944 meV/atom
Space-group type   Pm-3m

=====

The following is a DFT calculation (GGA-PBE) of a relaxed structure of NaTiN3.

abc: 3.959 3.959 3.959
angles: 90.00 90.00 90.00
Element x y z (fractional)
1 Na 0.000 0.000 0.000
2 Ti 0.500 0.500 0.500
3 N 0.000 0.500 0.500
4 N 0.500 0.000 0.500
5 N 0.500 0.500 0.000

Calculated total energy   -6.46 eV/atom
Formation energy from raw total energies   379 meV/atom
Space-group type   Pm-3m

=====

The following is a DFT calculation (GGA-PBE) of a relaxed structure of NaTi3N.

abc: 4.623 4.623 4.623
angles: 90.00 90.00 90.00
Element x y z (fractional)
1 Na 0.000 0.000 0.000
2 Ti 0.000 0.000 0.500
3 Ti 0.000 0.500 0.000
4 Ti 0.500 0.000 0.000
5 N 0.500 0.500 0.500

Calculated total energy   -4.11 eV/atom
Polymorph energy (0 for the lowest one)   14.09 eV/f.u.
Formation energy from raw total energies   2556 meV/atom
Space-group type   Pm-3m

=====

The following is a DFT calculation (GGA-PBE) of a relaxed structure of NaTi2N.

abc: 6.351 6.351 6.351
angles: 60.00 60.00 60.00
Element x y z (fractional)
1 Na 0.125 0.125 0.125
2 Na 0.875 0.875 0.875
3 Ti 0.000 0.500 0.500
4 Ti 0.500 0.000 0.500
5 Ti 0.500 0.500 0.000
6 Ti 0.500 0.500 0.500
7 N 0.375 0.375 0.375
8 N 0.625 0.625 0.625

Calculated total energy   -6.51 eV/atom
Formation energy from raw total energies   -152 meV/atom
Space-group type   Fd-3m

=====

The following is a DFT calculation (GGA-PBE) of a relaxed structure of Na2TiN2.

abc: 5.834 5.834 7.071
angles: 90.00 90.00 147.05
Element x y z (fractional)
1 Na 0.150 0.850 0.578
2 Na 0.150 0.850 0.922
3 Na 0.850 0.150 0.078
4 Na 0.850 0.150 0.422
5 Ti 0.417 0.583 0.750
6 Ti 0.583 0.417 0.250
7 N 0.181 0.819 0.250
8 N 0.500 0.500 0.000
9 N 0.500 0.500 0.500
10 N 0.819 0.181 0.750

Calculated total energy   -6.08 eV/atom
Formation energy from raw total energies   -639 meV/atom
Space-group type   Cmcm

=====

The following is a DFT calculation (GGA-PBE) of a relaxed structure of Na2TiN2.

abc: 3.138 3.138 8.853
angles: 90.00 90.00 120.00
Element x y z (fractional)
1 Na 0.333 0.667 0.208
2 Na 0.667 0.333 0.792
3 Ti 0.000 0.000 0.500
4 N 0.333 0.667 0.621
5 N 0.667 0.333 0.379

Calculated total energy   -6.01 eV/atom
Formation energy from raw total energies   -573 meV/atom
Space-group type   P-3m1

=====

The following is a DFT calculation (GGA-PBE) of a relaxed structure of NaTi2N3.

abc: 5.451 3.052 7.969
angles: 90.00 103.48 90.00
Element x y z (fractional)
1 Na 0.021 0.250 0.336
2 Na 0.979 0.750 0.664
3 Ti 0.262 0.250 0.009
4 Ti 0.488 0.250 0.660
5 Ti 0.512 0.750 0.340
6 Ti 0.738 0.750 0.991
7 N 0.162 0.750 0.142
8 N 0.312 0.750 0.518
9 N 0.389 0.750 0.850
10 N 0.611 0.250 0.150
11 N 0.688 0.250 0.482
12 N 0.838 0.250 0.858

Calculated total energy   -8.14 eV/atom
Formation energy from raw total energies   -1124 meV/atom
Space-group type   P2_1/m

=====

The following is a DFT calculation (GGA-PBE) of a relaxed structure of NaTi3N.

abc: 4.246 4.246 4.246
angles: 90.00 90.00 90.00
Element x y z (fractional)
1 Na 0.000 0.000 0.000
2 Ti 0.000 0.500 0.500
3 Ti 0.500 0.000 0.500
4 Ti 0.500 0.500 0.000
5 N 0.500 0.500 0.500

Calculated total energy   -6.93 eV/atom
Polymorph energy (0 for the lowest one)   0.00 eV/f.u.
Formation energy from raw total energies   -262 meV/atom
Space-group type   Pm-3m

=====

The following is a DFT calculation (GGA-PBE) of a relaxed structure of Na3TiN.

abc: 5.791 5.791 5.791
angles: 90.00 90.00 90.00
Element x y z (fractional)
1 Na 0.000 0.000 0.500
2 Na 0.000 0.500 0.000
3 Na 0.500 0.000 0.000
4 Ti 0.000 0.000 0.000
5 N 0.500 0.500 0.500

Calculated total energy   -1.95 eV/atom
Polymorph energy (0 for the lowest one)   5.71 eV/f.u.
Formation energy from raw total energies   2087 meV/atom
Space-group type   Pm-3m